# 1
Entry from Alexandria: crystalline ZrAs2Se at its relaxed geometry (PBE-GGA).

Properties
formation energy (no corrections)	-0.266	eV per atom
ρ	6.8	g/cm3
total moment	0.00	μB/cell

Unit cell a=5.603 b=5.603 c=5.603 alpha=137.79 beta=137.79 gamma=61.23
Element x y z (fractional)
As: 0.000 0.000 0.000
As: 0.250 0.750 0.500
Se: 0.500 0.500 0.000
Zr: 0.750 0.250 0.500

# 2
Entry from Alexandria: crystalline RhWBr2 at its relaxed geometry (PBE-GGA).

Properties
formation energy (no corrections)	1.095	eV per atom
ρ	10.9	g/cm3
energy relative to the lowest polymorph listed for this composition	1022	meV per atom
total moment	0.00	μB/cell

Unit cell a=4.581 b=4.581 c=4.581 alpha=60.00 beta=60.00 gamma=60.00
Element x y z (fractional)
Rh: 0.000 0.000 0.000
Br: 0.250 0.250 0.250
Br: 0.750 0.750 0.750
W: 0.500 0.500 0.500